Entry 1:
# NaCaPu2Au4 PBE relaxed
# DOS(E_F) ... 3.97 states/eV per atom
# Total DFT energy (no corrections) ... -6.068 eV per atom
# DFT formation energy ... -0.431 eV per atom
data_NaCaPu2Au4
_chemical_formula_sum 'Na3 Ca3 Pu6 Au12'
_cell_length_a 5.1286
_cell_length_b 5.1286
_cell_length_c 25.1066
_cell_angle_alpha 90.00
_cell_angle_beta 90.00
_cell_angle_gamma 120.00
_space_group_name_H-M_alt 'R -3 m'
_space_group_IT_number 166
_space_group_name_Hall '-R 3 2"'
loop_
_atom_site_label
_atom_site_fract_x
_atom_site_fract_y
_atom_site_fract_z
Na1 0.0000 0.0000 0.0000
Ca1 0.0000 0.0000 0.5000
Pu1 0.0000 0.0000 0.2533
Au1 0.0000 0.0000 0.1278
Au2 0.0000 0.0000 0.3771

Entry 2:
# Al5Ni PBE relaxed
# DOS(E_F) ... 0.20 states/eV per atom
# Total DFT energy (no corrections) ... -4.191 eV per atom
# DFT formation energy ... -0.109 eV per atom
data_Al5Ni
_chemical_formula_sum 'Al5 Ni1'
_cell_length_a 4.8645
_cell_length_b 4.8645
_cell_length_c 4.3980
_cell_angle_alpha 90.00
_cell_angle_beta 90.00
_cell_angle_gamma 120.00
_space_group_name_H-M_alt 'P -6 2 m'
_space_group_IT_number 189
_space_group_name_Hall 'P -6 -2'
loop_
_atom_site_label
_atom_site_fract_x
_atom_site_fract_y
_atom_site_fract_z
Al1 0.0000 0.6806 0.0000
Al2 0.3333 0.6667 0.5000
Ni1 0.0000 0.0000 0.5000